# Pm2Zn2CdCu5

An optimized crystal structure of Pm2Zn2CdCu5 (GGA-PBE, the Alexandria database).

abc: 3.744 9.806 9.806
angles: 90.00 90.00 90.00
Positions (direct):
Cu 0.500 0.286 0.550
Cu 0.500 0.050 0.786
Cu 0.500 0.500 0.000
Cu 0.500 0.714 0.450
Cu 0.500 0.950 0.214
Cu 0.500 0.450 0.286
Cu 0.500 0.214 0.050
Cu 0.500 0.550 0.714
Cu 0.500 0.786 0.950
Cu 0.500 0.000 0.500
Cd 0.000 0.500 0.500
Cd 0.000 0.000 0.000
Zn 0.000 0.387 0.113
Zn 0.000 0.113 0.613
Zn 0.000 0.613 0.887
Zn 0.000 0.887 0.387
Pm 0.000 0.683 0.183
Pm 0.000 0.183 0.317
Pm 0.000 0.817 0.683
Pm 0.000 0.317 0.817

Summary:
DFT total energy	-3.420	eV per atom
magnetization	0.00	μB per formula unit
ΔH_f (0 K)	-0.08	eV/atom